{"formula": "Co2RhF", "functional": "PBE+U", "state": "optimized geometry", "crystal_system": "tetragonal", "final_energy_ev_per_atom": -4.789, "sg": "I-42d, No. 122", "lattice_angstrom": [[-3.0538, 3.0538, 2.9698], [3.0538, -3.0538, 2.9698], [3.0538, 3.0538, -2.9698]], "species": ["Co", "Co", "Co", "Co", "Rh", "Rh", "F", "F"], "frac_coords": [[0.0764, 0.1250, 0.4514], [0.3750, 0.9236, 0.0486], [0.6736, 0.6250, 0.5486], [0.8750, 0.3264, 0.9514], [0.2500, 0.7500, 0.5000], [0.5000, 0.5000, 0.0000], [0.0000, 0.0000, 0.0000], [0.7500, 0.2500, 0.5000]]}